Pm8As6P | PBE | relaxed

```
data_Pm8As6P
_cell_length_a 10.3119
_cell_length_b 10.3119
_cell_length_c 4.4827
_cell_angle_alpha 90.00
_cell_angle_beta 90.00
_cell_angle_gamma 120.00
_symmetry_space_group_name_H-M 'P -3'
_symmetry_Int_Tables_number 147
_symmetry_space_group_name_Hall '-P 3'
loop_
_atom_site_label
_atom_site_type_symbol
_atom_site_fract_x
_atom_site_fract_y
_atom_site_fract_z
Pm1 Pm 0.0297 0.3104 0.2384
Pm2 Pm 0.3333 0.6667 0.7538
As1 As 0.1216 0.6485 0.2572
P1 P 0.0000 0.0000 0.0000
```


Pm4As2P | PBE | relaxed

```
data_Pm4As2P
_cell_length_a 8.8657
_cell_length_b 8.8657
_cell_length_c 8.9638
_cell_angle_alpha 90.00
_cell_angle_beta 90.00
_cell_angle_gamma 90.00
_symmetry_space_group_name_H-M 'I -4 2 d'
_symmetry_Int_Tables_number 122
_symmetry_space_group_name_Hall 'I -4 2bw'
loop_
_atom_site_label
_atom_site_type_symbol
_atom_site_fract_x
_atom_site_fract_y
_atom_site_fract_z
Pm1 Pm 0.0666 0.6886 0.4446
As1 As 0.1206 0.7500 0.1250
P1 P 0.0000 0.0000 0.5000
```

Calculated values
Polymorph energy (0 for the lowest one), eV/atom: 0.0000


Pm8AsP6 | PBE | relaxed

```
data_Pm8AsP6
_cell_length_a 10.4949
_cell_length_b 10.4949
_cell_length_c 4.2360
_cell_angle_alpha 90.00
_cell_angle_beta 90.00
_cell_angle_gamma 120.00
_symmetry_space_group_name_H-M 'P -3'
_symmetry_Int_Tables_number 147
_symmetry_space_group_name_Hall '-P 3'
loop_
_atom_site_label
_atom_site_type_symbol
_atom_site_fract_x
_atom_site_fract_y
_atom_site_fract_z
Pm1 Pm 0.0337 0.3376 0.2419
Pm2 Pm 0.3333 0.6667 0.7519
As1 As 0.0000 0.0000 0.0000
P1 P 0.1336 0.6560 0.2563
```


Pm3As2P | PBE | relaxed

```
data_Pm3As2P
_cell_length_a 8.4069
_cell_length_b 11.8911
_cell_length_c 25.2085
_cell_angle_alpha 90.00
_cell_angle_beta 90.00
_cell_angle_gamma 90.00
_symmetry_space_group_name_H-M 'F d d d'
_symmetry_Int_Tables_number 70
loop_
_symmetry_equiv_pos_as_xyz
'x,y,z'
'-x,-y,-z'
'-x+1/4,-y+1/4,z'
'x+1/4,y+1/4,-z'
'x,-y+1/4,-z+1/4'
'-x,y+1/4,z+1/4'
'-x+1/4,y,-z+1/4'
'x+1/4,-y,z+1/4'
'x,y+1/2,z+1/2'
'-x,-y+1/2,-z+1/2'
'-x+1/4,-y+3/4,z+1/2'
'x+1/4,y+3/4,-z+1/2'
'x,-y+3/4,-z+3/4'
'-x,y+3/4,z+3/4'
'-x+1/4,y+1/2,-z+3/4'
'x+1/4,-y+1/2,z+3/4'
'x+1/2,y,z+1/2'
'-x+1/2,-y,-z+1/2'
'-x+3/4,-y+1/4,z+1/2'
'x+3/4,y+1/4,-z+1/2'
'x+1/2,-y+1/4,-z+3/4'
'-x+1/2,y+1/4,z+3/4'
'-x+3/4,y,-z+3/4'
'x+3/4,-y,z+3/4'
'x+1/2,y+1/2,z'
'-x+1/2,-y+1/2,-z'
'-x+3/4,-y+3/4,z'
'x+3/4,y+3/4,-z'
'x+1/2,-y+3/4,-z+1/4'
'-x+1/2,y+3/4,z+1/4'
'-x+3/4,y+1/2,-z+1/4'
'x+3/4,-y+1/2,z+1/4'
loop_
_atom_site_label
_atom_site_type_symbol
_atom_site_fract_x
_atom_site_fract_y
_atom_site_fract_z
Pm1 Pm 0.1198 0.3750 0.3750
Pm2 Pm 0.1226 0.3726 0.2094
As1 As 0.1250 0.1250 0.3753
As2 As 0.1250 0.1250 0.5421
P1 P 0.1250 0.1250 0.0417
```


Pm12As3P5 | PBE | relaxed

```
data_Pm12As3P5
_cell_length_a 16.9176
_cell_length_b 16.9176
_cell_length_c 16.9176
_cell_angle_alpha 90.00
_cell_angle_beta 90.00
_cell_angle_gamma 90.00
_symmetry_space_group_name_H-M 'I a -3 d'
_symmetry_Int_Tables_number 230
_symmetry_space_group_name_Hall '-I 4bd 2c 3'
loop_
_atom_site_label
_atom_site_type_symbol
_atom_site_fract_x
_atom_site_fract_y
_atom_site_fract_z
Pm1 Pm 0.0219 0.0657 0.6509
As1 As 0.0000 0.2500 0.1250
P1 P 0.0000 0.0000 0.0000
P2 P 0.0000 0.2500 0.3750
```


Pm3AsP2 | PBE | relaxed

```
data_Pm3AsP2
_cell_length_a 4.1693
_cell_length_b 5.8917
_cell_length_c 12.5023
_cell_angle_alpha 90.00
_cell_angle_beta 90.00
_cell_angle_gamma 90.00
_symmetry_space_group_name_H-M 'I m m m'
_symmetry_Int_Tables_number 71
_symmetry_space_group_name_Hall '-I 2 2'
loop_
_atom_site_label
_atom_site_type_symbol
_atom_site_fract_x
_atom_site_fract_y
_atom_site_fract_z
Pm1 Pm 0.0000 0.0000 0.0000
Pm2 Pm 0.0000 0.0000 0.3292
As1 As 0.0000 0.5000 0.0000
P1 P 0.0000 0.5000 0.3341
```


no.,E_form (eV per atom)
1,-1.0893
2,-1.2865
3,-1.1932
4,-1.5378
5,-0.8752
6,-1.5478